(1)
The following is a DFT calculation (PBE-GGA) of a geometry-optimized PrDy4Mg structure. Values from VASP.

Summary:
* DOS at the Fermi energy: 8.475 states/eV/cell
* E above lowest polymorph: 0.0000 eV/atom

Structure (Quantum ESPRESSO input):
```
&SYSTEM
  ibrav = 0, nat = 6, ntyp = 3
/
ATOMIC_SPECIES
Pr 140.91 Pr.upf
Dy 162.50 Dy.upf
Mg 24.30 Mg.upf
CELL_PARAMETERS angstrom
-2.758 2.180 -0.812
-2.223 -2.099 1.915
2.705 7.764 11.650
ATOMIC_POSITIONS crystal
Pr 0.000 0.000 0.000
Dy 0.500 0.500 0.180
Dy 0.000 0.000 0.649
Dy 0.000 0.000 0.351
Dy 0.500 0.500 0.820
Mg 0.500 0.500 0.500
```

=====

(2)
The following is a DFT calculation (PBE-GGA) of a geometry-optimized Pr3Dy4Mg structure. Values from VASP.

Summary:
* DOS at the Fermi energy: 11.856 states/eV/cell
* E above lowest polymorph: 0.0067 eV/atom

Structure (Quantum ESPRESSO input):
```
&SYSTEM
  ibrav = 0, nat = 8, ntyp = 3
/
ATOMIC_SPECIES
Pr 140.91 Pr.upf
Mg 24.30 Mg.upf
Dy 162.50 Dy.upf
CELL_PARAMETERS angstrom
-3.987 2.390 1.762
-2.226 -4.434 0.979
7.248 1.015 8.012
ATOMIC_POSITIONS crystal
Pr 0.000 0.500 0.000
Pr 0.875 0.875 0.750
Pr 0.125 0.125 0.250
Mg 0.500 0.000 0.000
Dy 0.752 0.252 0.504
Dy 0.248 0.748 0.496
Dy 0.374 0.373 0.747
Dy 0.626 0.627 0.253
```

=====

(3)
The following is a DFT calculation (PBE-GGA) of a geometry-optimized Pr6Dy5Mg2 structure. Values from VASP.

Summary:
* DOS at the Fermi energy: 40.794 states/eV/cell

Structure (Quantum ESPRESSO input):
```
&SYSTEM
  ibrav = 0, nat = 26, ntyp = 3
/
ATOMIC_SPECIES
Pr 140.91 Pr.upf
Dy 162.50 Dy.upf
Mg 24.30 Mg.upf
CELL_PARAMETERS angstrom
-2.402 1.967 1.732
-7.172 -2.180 -7.470
-6.700 -18.643 11.874
ATOMIC_POSITIONS crystal
Pr 0.000 0.147 0.383
Pr 0.000 0.853 0.617
Pr 0.000 0.647 0.117
Pr 0.000 0.353 0.883
Pr 0.500 0.330 0.133
Pr 0.500 0.670 0.867
Pr 0.500 0.830 0.367
Pr 0.500 0.170 0.633
Pr 0.000 0.517 0.387
Pr 0.000 0.483 0.613
Pr 0.000 0.017 0.113
Pr 0.000 0.983 0.887
Dy 0.500 0.334 0.495
Dy 0.500 0.666 0.505
Dy 0.500 0.834 0.005
Dy 0.500 0.166 0.995
Dy 0.500 0.581 0.250
Dy 0.500 0.419 0.750
Dy 0.500 0.081 0.250
Dy 0.500 0.919 0.750
Dy 0.500 0.500 0.000
Dy 0.500 0.000 0.500
Mg 0.000 0.331 0.261
Mg 0.000 0.669 0.739
Mg 0.000 0.831 0.239
Mg 0.000 0.169 0.761
```

=====

(4)
The following is a DFT calculation (PBE-GGA) of a geometry-optimized Pr4Dy5Mg structure. Values from VASP.

Summary:
* DOS at the Fermi energy: 13.704 states/eV/cell
* E above lowest polymorph: 0.0000 eV/atom

Structure (Quantum ESPRESSO input):
```
&SYSTEM
  ibrav = 0, nat = 10, ntyp = 3
/
ATOMIC_SPECIES
Pr 140.91 Pr.upf
Dy 162.50 Dy.upf
Mg 24.30 Mg.upf
CELL_PARAMETERS angstrom
3.654 0.000 0.000
0.000 3.654 0.000
0.000 0.000 24.355
ATOMIC_POSITIONS crystal
Pr 0.000 0.000 0.187
Pr 0.000 0.000 0.396
Pr 0.000 0.000 0.604
Pr 0.000 0.000 0.813
Dy 0.500 0.500 0.085
Dy 0.500 0.500 0.291
Dy 0.500 0.500 0.500
Dy 0.500 0.500 0.709
Dy 0.500 0.500 0.915
Mg 0.000 0.000 0.000
```

=====

The following ρ values (in Mg/m³) correspond, in order, to the records above: 7.294 7.065 6.523 7.152.
The following formation energy values (in eV per atom) correspond, in order, to the records above: -0.0092 0.0163 0.1247 0.0008.